# 1
# YCr4Fe8, single point on PBEsol structure, DFT SCAN
data_YCr4Fe8
_chemical_formula_sum 'Y1 Cr4 Fe8'
_cell_length_a 4.6177
_cell_length_b 6.1969
_cell_length_c 6.1969
_cell_angle_alpha 82.02
_cell_angle_beta 68.12
_cell_angle_gamma 68.12
_space_group_name_H-M_alt 'P 1'
_space_group_IT_number 1
loop_
_space_group_symop_operation_xyz
'x,y,z'
loop_
_atom_site_label
_atom_site_type_symbol
_atom_site_fract_x
_atom_site_fract_y
_atom_site_fract_z
Cr1 Cr 0.0000 0.3667 0.6333
Cr2 Cr 0.3667 0.6333 0.6333
Cr3 Cr 0.0000 0.6333 0.3667
Cr4 Cr 0.6333 0.3667 0.3667
Fe1 Fe 0.5000 0.5000 0.0000
Fe2 Fe 0.5000 0.7758 0.2242
Fe3 Fe 0.0000 0.5000 0.0000
Fe4 Fe 0.5000 0.2242 0.7758
Fe5 Fe 0.7242 0.7758 0.7758
Fe6 Fe 0.2758 0.2242 0.2242
Fe7 Fe 0.0000 0.0000 0.5000
Fe8 Fe 0.5000 0.0000 0.5000
Y1 Y 0.0000 0.0000 0.0000
# * space-group type: No. 139
# * final energy: -18.878 eV per atom
# * N(E_F): 0.8524 states/eV/atom

# 2
# ZnCrFe6, single point on PBEsol structure, DFT SCAN
data_ZnCrFe6
_chemical_formula_sum 'Zn4 Cr4 Fe24'
_cell_length_a 6.0805
_cell_length_b 6.0805
_cell_length_c 9.9703
_cell_angle_alpha 90.00
_cell_angle_beta 90.00
_cell_angle_gamma 109.55
_space_group_name_H-M_alt 'P 1'
_space_group_IT_number 1
loop_
_space_group_symop_operation_xyz
'x,y,z'
loop_
_atom_site_label
_atom_site_type_symbol
_atom_site_fract_x
_atom_site_fract_y
_atom_site_fract_z
Zn1 Zn 0.0000 0.0000 0.2467
Zn2 Zn 0.7502 0.2498 0.5000
Zn3 Zn 0.0000 0.0000 0.7533
Zn4 Zn 0.2498 0.7502 0.5000
Fe1 Fe 0.8707 0.6185 0.1214
Fe2 Fe 0.5000 0.5000 0.5000
Fe3 Fe 0.1266 0.3766 0.6278
Fe4 Fe 0.3815 0.1293 0.1214
Fe5 Fe 0.3815 0.1293 0.8786
Fe6 Fe 0.1293 0.3815 0.1214
Fe7 Fe 0.6234 0.8734 0.6278
Fe8 Fe 0.0000 0.0000 0.0000
Fe9 Fe 0.7485 0.2515 0.7548
Fe10 Fe 0.3766 0.1266 0.6278
Fe11 Fe 0.5000 0.5000 0.0000
Fe12 Fe 0.1293 0.3815 0.8786
Fe13 Fe 0.6185 0.8707 0.8786
Fe14 Fe 0.6234 0.8734 0.3722
Fe15 Fe 0.7485 0.2515 0.2452
Fe16 Fe 0.8734 0.6234 0.6278
Fe17 Fe 0.2515 0.7485 0.7548
Fe18 Fe 0.0000 0.0000 0.5000
Fe19 Fe 0.8707 0.6185 0.8786
Fe20 Fe 0.3766 0.1266 0.3722
Fe21 Fe 0.1266 0.3766 0.3722
Fe22 Fe 0.6185 0.8707 0.1214
Fe23 Fe 0.2515 0.7485 0.2452
Fe24 Fe 0.8734 0.6234 0.3722
Cr1 Cr 0.5000 0.5000 0.2445
Cr2 Cr 0.5000 0.5000 0.7555
Cr3 Cr 0.2514 0.7486 0.0000
Cr4 Cr 0.7486 0.2514 0.0000
# * space-group type: No. 65
# * final energy: -17.554 eV per atom
# * N(E_F): 0.6776 states/eV/atom

# 3
# Zn2CrFe, single point on PBEsol structure, DFT SCAN
data_Zn2CrFe
_chemical_formula_sum 'Zn2 Cr1 Fe1'
_cell_length_a 2.7384
_cell_length_b 2.7384
_cell_length_c 6.3771
_cell_angle_alpha 90.00
_cell_angle_beta 90.00
_cell_angle_gamma 90.00
_space_group_name_H-M_alt 'P 1'
_space_group_IT_number 1
loop_
_space_group_symop_operation_xyz
'x,y,z'
loop_
_atom_site_label
_atom_site_type_symbol
_atom_site_fract_x
_atom_site_fract_y
_atom_site_fract_z
Fe1 Fe 0.5000 0.5000 0.7255
Zn1 Zn 0.0000 0.0000 0.9818
Zn2 Zn 0.5000 0.5000 0.2609
Cr1 Cr 0.0000 0.0000 0.5318
# * space-group type: No. 99
# * final energy: -15.801 eV per atom
# * N(E_F): 0.4927 states/eV/atom

# 4
# Zn2CrFe, single point on PBEsol structure, DFT SCAN
data_Zn2CrFe
_chemical_formula_sum 'Zn2 Cr1 Fe1'
_cell_length_a 2.4676
_cell_length_b 3.8738
_cell_length_c 5.0652
_cell_angle_alpha 90.00
_cell_angle_beta 89.97
_cell_angle_gamma 90.00
_space_group_name_H-M_alt 'P 1'
_space_group_IT_number 1
loop_
_space_group_symop_operation_xyz
'x,y,z'
loop_
_atom_site_label
_atom_site_type_symbol
_atom_site_fract_x
_atom_site_fract_y
_atom_site_fract_z
Fe1 Fe 0.5000 0.5000 0.5000
Cr1 Cr 0.5000 0.5000 0.0000
Zn1 Zn 0.0004 0.0000 0.2527
Zn2 Zn 0.9996 0.0000 0.7473
# * space-group type: No. 47
# * final energy: -15.764 eV per atom
# * N(E_F): 0.6968 states/eV/atom

# 5
# Zn2CrFe, single point on PBEsol structure, DFT SCAN
data_Zn2CrFe
_chemical_formula_sum 'Zn2 Cr1 Fe1'
_cell_length_a 3.5695
_cell_length_b 3.5695
_cell_length_c 3.8195
_cell_angle_alpha 90.00
_cell_angle_beta 90.00
_cell_angle_gamma 90.00
_space_group_name_H-M_alt 'P 1'
_space_group_IT_number 1
loop_
_space_group_symop_operation_xyz
'x,y,z'
loop_
_atom_site_label
_atom_site_type_symbol
_atom_site_fract_x
_atom_site_fract_y
_atom_site_fract_z
Cr1 Cr 0.5000 0.5000 0.5000
Zn1 Zn 0.5000 0.0000 0.0000
Zn2 Zn 0.0000 0.5000 0.0000
Fe1 Fe 0.0000 0.0000 0.5000
# * space-group type: No. 123
# * final energy: -15.770 eV per atom
# * N(E_F): 0.5391 states/eV/atom

# 6
# Zn2CrFe, single point on PBEsol structure, DFT SCAN
data_Zn2CrFe
_chemical_formula_sum 'Zn2 Cr1 Fe1'
_cell_length_a 3.5698
_cell_length_b 3.5698
_cell_length_c 4.5713
_cell_angle_alpha 112.98
_cell_angle_beta 112.98
_cell_angle_gamma 90.00
_space_group_name_H-M_alt 'P 1'
_space_group_IT_number 1
loop_
_space_group_symop_operation_xyz
'x,y,z'
loop_
_atom_site_label
_atom_site_type_symbol
_atom_site_fract_x
_atom_site_fract_y
_atom_site_fract_z
Cr1 Cr 0.5000 0.5000 0.0000
Zn1 Zn 0.7500 0.2500 0.5000
Zn2 Zn 0.2500 0.7500 0.5000
Fe1 Fe 0.0000 0.0000 0.0000
# * space-group type: No. 139
# * final energy: -15.753 eV per atom
# * N(E_F): 0.6081 states/eV/atom

We obtain DFT formation energy values of 0.08; 0.03; 0.09; 0.12; 0.12; 0.13 eV/atom for the records listed above, in that order.
We obtain magnetization values of 12.1; 46.0; 0.2; 4.0; 3.6; 4.5 Bohr magnetons per cell for the records listed above, in that order.